The following is a DFT calculation (PBE) of TbNpPd4 after structural relaxation.

The structure in CIF format:
```
data_TbNpPd4
_space_group_name_H-M_alt 'P 1'
_space_group_IT_number 1
_space_group_name_Hall 'P 1'
_cell_length_a 5.4488
_cell_length_b 5.4488
_cell_length_c 5.4488
_cell_angle_alpha 60.00
_cell_angle_beta 60.00
_cell_angle_gamma 60.00
loop_
_atom_site_label
_atom_site_type_symbol
_atom_site_fract_x
_atom_site_fract_y
_atom_site_fract_z
_atom_site_occupancy
Tb1 Tb 0.0000 0.0000 0.0000 1
Np1 Np 0.2500 0.2500 0.2500 1
Pd1 Pd 0.1255 0.6248 0.6248 1
Pd2 Pd 0.6248 0.1255 0.6248 1
Pd3 Pd 0.6248 0.6248 0.1255 1
Pd4 Pd 0.6248 0.6248 0.6248 1
```

Calculated values
Total moment = 4.2 μB per cell
Electronic total energy = -41.46 eV/cell
Formation energy = -0.52 eV per atom

***

The following is a DFT calculation (PBE) of TbNpTe3Pd after structural relaxation.

The structure in CIF format:
```
data_TbNpTe3Pd
_space_group_name_H-M_alt 'P 1'
_space_group_IT_number 1
_space_group_name_Hall 'P 1'
_cell_length_a 8.3351
_cell_length_b 4.2050
_cell_length_c 9.9262
_cell_angle_alpha 90.00
_cell_angle_beta 100.80
_cell_angle_gamma 90.00
loop_
_atom_site_label
_atom_site_type_symbol
_atom_site_fract_x
_atom_site_fract_y
_atom_site_fract_z
_atom_site_occupancy
Tb1 Tb 0.1749 0.2500 0.1807 1
Tb2 Tb 0.8251 0.7500 0.8193 1
Np1 Np 0.3230 0.7500 0.7204 1
Np2 Np 0.6770 0.2500 0.2796 1
Te1 Te 0.0997 0.2500 0.8501 1
Te2 Te 0.2300 0.2500 0.4871 1
Te3 Te 0.4237 0.7500 0.1344 1
Te4 Te 0.5763 0.2500 0.8656 1
Te5 Te 0.7700 0.7500 0.5129 1
Te6 Te 0.9003 0.7500 0.1499 1
Pd1 Pd 0.4149 0.7500 0.4079 1
Pd2 Pd 0.5851 0.2500 0.5921 1
```

Calculated values
Total moment = 7.9 μB per cell
Formation energy from raw total energies = -0.93 eV/atom
Electronic total energy = -75.51 eV/cell

***

The following is a DFT calculation (PBE) of NpTc2Pd after structural relaxation.

The structure in CIF format:
```
data_NpTc2Pd
_space_group_name_H-M_alt 'P 1'
_space_group_IT_number 1
_space_group_name_Hall 'P 1'
_cell_length_a 4.1943
_cell_length_b 4.1943
_cell_length_c 3.7004
_cell_angle_alpha 90.00
_cell_angle_beta 90.00
_cell_angle_gamma 90.00
loop_
_atom_site_label
_atom_site_type_symbol
_atom_site_fract_x
_atom_site_fract_y
_atom_site_fract_z
_atom_site_occupancy
Np1 Np 0.0000 0.0000 0.0000 1
Tc1 Tc 0.0000 0.5000 0.5000 1
Tc2 Tc 0.5000 0.0000 0.5000 1
Pd1 Pd 0.5000 0.5000 0.0000 1
```

Calculated values
Total moment = 0.9 μB per cell
Electronic total energy = -38.93 eV/cell
Formation energy = -0.02 eV per atom

***

The following is a DFT calculation (PBE) of NpUTcPd after structural relaxation.

The structure in CIF format:
```
data_NpUTcPd
_space_group_name_H-M_alt 'P 1'
_space_group_IT_number 1
_space_group_name_Hall 'P 1'
_cell_length_a 4.6272
_cell_length_b 4.6272
_cell_length_c 4.6272
_cell_angle_alpha 60.00
_cell_angle_beta 60.00
_cell_angle_gamma 60.00
loop_
_atom_site_label
_atom_site_type_symbol
_atom_site_fract_x
_atom_site_fract_y
_atom_site_fract_z
_atom_site_occupancy
Np1 Np 0.0000 0.0000 0.0000 1
U1 U 0.7500 0.7500 0.7500 1
Tc1 Tc 0.5000 0.5000 0.5000 1
Pd1 Pd 0.2500 0.2500 0.2500 1
```

Calculated values
Total moment = 2.6 μB per cell
Electronic total energy = -40.43 eV/cell
Formation energy = -0.16 eV per atom

***

The following is a DFT calculation (PBE) of NpTePd4 after structural relaxation.

The structure in CIF format:
```
data_NpTePd4
_space_group_name_H-M_alt 'P 1'
_space_group_IT_number 1
_space_group_name_Hall 'P 1'
_cell_length_a 5.4205
_cell_length_b 5.4205
_cell_length_c 5.4205
_cell_angle_alpha 60.00
_cell_angle_beta 60.00
_cell_angle_gamma 60.00
loop_
_atom_site_label
_atom_site_type_symbol
_atom_site_fract_x
_atom_site_fract_y
_atom_site_fract_z
_atom_site_occupancy
Np1 Np 0.0000 0.0000 0.0000 1
Te1 Te 0.2500 0.2500 0.2500 1
Pd1 Pd 0.1220 0.6260 0.6260 1
Pd2 Pd 0.6260 0.1220 0.6260 1
Pd3 Pd 0.6260 0.6260 0.1220 1
Pd4 Pd 0.6260 0.6260 0.6260 1
```

Calculated values
Total moment = 3.2 μB per cell
Formation energy from raw total energies = -0.29 eV/atom
Electronic total energy = -38.57 eV/cell

***

The following is a DFT calculation (PBE) of NpTe3Pd12 after structural relaxation.

The structure in CIF format:
```
data_NpTe3Pd12
_space_group_name_H-M_alt 'P 1'
_space_group_IT_number 1
_space_group_name_Hall 'P 1'
_cell_length_a 4.0996
_cell_length_b 4.0996
_cell_length_c 16.5461
_cell_angle_alpha 90.00
_cell_angle_beta 90.00
_cell_angle_gamma 90.00
loop_
_atom_site_label
_atom_site_type_symbol
_atom_site_fract_x
_atom_site_fract_y
_atom_site_fract_z
_atom_site_occupancy
Np1 Np 0.0000 0.0000 0.0000 1
Te1 Te 0.0000 0.0000 0.2581 1
Te2 Te 0.0000 0.0000 0.5000 1
Te3 Te 0.0000 0.0000 0.7419 1
Pd1 Pd 0.0000 0.5000 0.1211 1
Pd2 Pd 0.0000 0.5000 0.3737 1
Pd3 Pd 0.0000 0.5000 0.6263 1
Pd4 Pd 0.0000 0.5000 0.8789 1
Pd5 Pd 0.5000 0.0000 0.1211 1
Pd6 Pd 0.5000 0.0000 0.3737 1
Pd7 Pd 0.5000 0.0000 0.6263 1
Pd8 Pd 0.5000 0.0000 0.8789 1
Pd9 Pd 0.5000 0.5000 0.0000 1
Pd10 Pd 0.5000 0.5000 0.2456 1
Pd11 Pd 0.5000 0.5000 0.5000 1
Pd12 Pd 0.5000 0.5000 0.7544 1
```

Calculated values
Total moment = 3.0 μB per cell
Formation energy from raw total energies = -0.24 eV/atom
Electronic total energy = -88.58 eV/cell

***

The following is a DFT calculation (PBE) of NpTePd2 after structural relaxation.

The structure in CIF format:
```
data_NpTePd2
_space_group_name_H-M_alt 'P 1'
_space_group_IT_number 1
_space_group_name_Hall 'P 1'
_cell_length_a 4.3632
_cell_length_b 4.3632
_cell_length_c 4.3799
_cell_angle_alpha 90.00
_cell_angle_beta 90.00
_cell_angle_gamma 90.00
loop_
_atom_site_label
_atom_site_type_symbol
_atom_site_fract_x
_atom_site_fract_y
_atom_site_fract_z
_atom_site_occupancy
Np1 Np 0.0000 0.0000 0.0000 1
Te1 Te 0.5000 0.5000 0.0000 1
Pd1 Pd 0.0000 0.5000 0.5000 1
Pd2 Pd 0.5000 0.0000 0.5000 1
```

Calculated values
Total moment = 4.1 μB per cell
Formation energy from raw total energies = -0.24 eV/atom
Electronic total energy = -27.45 eV/cell
ΔE to the lowest computed polymorph = 63 meV per atom

***

The following is a DFT calculation (PBE) of NpTe3Pd2 after structural relaxation.

The structure in CIF format:
```
data_NpTe3Pd2
_space_group_name_H-M_alt 'P 1'
_space_group_IT_number 1
_space_group_name_Hall 'P 1'
_cell_length_a 6.9666
_cell_length_b 4.2319
_cell_length_c 11.1001
_cell_angle_alpha 90.00
_cell_angle_beta 95.60
_cell_angle_gamma 90.00
loop_
_atom_site_label
_atom_site_type_symbol
_atom_site_fract_x
_atom_site_fract_y
_atom_site_fract_z
_atom_site_occupancy
Np1 Np 0.2095 0.2500 0.3230 1
Np2 Np 0.7905 0.7500 0.6770 1
Te1 Te 0.1487 0.7500 0.8609 1
Te2 Te 0.2006 0.7500 0.5412 1
Te3 Te 0.4273 0.7500 0.1884 1
Te4 Te 0.5727 0.2500 0.8116 1
Te5 Te 0.7994 0.2500 0.4588 1
Te6 Te 0.8513 0.2500 0.1391 1
Pd1 Pd 0.0560 0.7500 0.0909 1
Pd2 Pd 0.4448 0.2500 0.5724 1
Pd3 Pd 0.5552 0.7500 0.4276 1
Pd4 Pd 0.9440 0.2500 0.9091 1
```

Calculated values
Total moment = 6.8 μB per cell
Formation energy from raw total energies = -0.42 eV/atom
Electronic total energy = -70.60 eV/cell

***

- What is the electronic total energy in the fifth record?
  -38.57 eV/cell

***

- The lowest total moment belongs to which entry?
  NpTc2Pd

***

- What is the formula in the fifth record?
  NpTePd4

***

- Which formula does entry 4 have?
  NpUTcPd